Record 1
The following is a DFT calculation (GGA-PBE) of Hf2PS after structural relaxation.

space group	Fm-3m, No. 225
energy relative to the lowest polymorph listed for this composition	0.236	eV per atom
volume	66	Å³/f.u.
final energy	-8.40	eV/atom
Fermi-level density of states	0.49	states/eV/atom
formation energy from raw total energies	-1.034	eV/atom

Cell: 4.545 4.545 4.545 Å, 60.00 60.00 60.00°
Atoms (fractional coordinates):
S: 0.500 0.500 0.500
Hf: 0.250 0.250 0.250
Hf: 0.750 0.750 0.750
P: 0.000 0.000 0.000

---

Record 2
The following is a DFT calculation (GGA-PBE) of YBe2AlPt4 after structural relaxation.

space group	R-3m, No. 166
volume	125	Å³/f.u.
final energy	-6.07	eV/atom
Fermi-level density of states	0.49	states/eV/atom
calculated formation energy	-845	meV/atom

Cell: 4.101 4.101 8.933 Å, 76.73 76.73 60.00°
Atoms (fractional coordinates):
Be: 0.245 0.245 0.265
Be: 0.755 0.755 0.735
Al: 0.500 0.500 0.500
Pt: 0.596 0.596 0.211
Pt: 0.131 0.131 0.607
Pt: 0.404 0.404 0.789
Pt: 0.869 0.869 0.393
Y: 0.000 0.000 0.000

---

Record 3
The following is a DFT calculation (GGA-PBE) of Sn2Hg3Pb3 after structural relaxation.

space group	C2/m, No. 12
volume	233	Å³/f.u.
final energy	-2.42	eV/atom
Fermi-level density of states	0.39	states/eV/atom
calculated formation energy	81	meV/atom

Cell: 5.521 7.179 6.508 Å, 92.67 115.10 90.00°
Atoms (fractional coordinates):
Sn: 0.251 0.228 0.503
Sn: 0.749 0.772 0.497
Pb: 0.000 0.000 0.000
Pb: 0.133 0.608 0.266
Pb: 0.867 0.392 0.734
Hg: 0.500 0.500 0.000
Hg: 0.623 0.132 0.247
Hg: 0.377 0.868 0.753

---

Record 4
The following is a DFT calculation (GGA-PBE) of LiRe2Br after structural relaxation.

space group	Fm-3m, No. 225
energy relative to the lowest polymorph listed for this composition	1.230	eV per atom
volume	57	Å³/f.u.
final energy	-5.73	eV/atom
Fermi-level density of states	0.78	states/eV/atom
formation energy from raw total energies	1.387	eV/atom

Cell: 4.312 4.312 4.312 Å, 60.00 60.00 60.00°
Atoms (fractional coordinates):
Br: 0.500 0.500 0.500
Li: 0.000 0.000 0.000
Re: 0.750 0.750 0.750
Re: 0.250 0.250 0.250

---

Record 5
The following is a DFT calculation (GGA-PBE) of BaPdSe2Br after structural relaxation.

space group	P4/mmm, No. 123
energy relative to the lowest polymorph listed for this composition	1.203	eV per atom
volume	250	Å³/f.u.
final energy	-2.89	eV/atom
Fermi-level density of states	2.33	states/eV/atom
formation energy from raw total energies	0.266	eV/atom

Cell: 6.359 6.359 6.171 Å, 90.00 90.00 90.00°
Last column: magnetic moment on the atom in μB.
Atoms (fractional coordinates):
Ba: 0.000 0.000 0.000  0.00
Se: 0.000 0.500 0.000  0.70
Se: 0.500 0.000 0.000  0.70
Br: 0.000 0.000 0.500  0.08
Pd: 0.500 0.500 0.500  0.52

---

Record 6
The following is a DFT calculation (GGA-PBE) of Rb2InMoBr6 after structural relaxation.

space group	Fm-3m, No. 225
volume	373	Å³/f.u.
final energy	-3.58	eV/atom
Fermi-level density of states	0.00	states/eV/atom
formation energy from raw total energies	-1.029	eV/atom

Cell: 8.081 8.081 8.081 Å, 60.00 60.00 90.00°
Last column: magnetic moment on the atom in μB.
Atoms (fractional coordinates):
Br: 0.729 0.729 0.542  0.01
Br: 0.271 0.271 0.458  0.01
Br: 0.271 0.271 0.000  0.01
Br: 0.729 0.729 0.000  0.01
Br: 0.271 0.729 0.000  0.01
Br: 0.729 0.271 0.000  0.01
In: 0.000 0.000 0.000  -0.02
Rb: 0.750 0.250 0.500  0.00
Rb: 0.250 0.750 0.500  0.00
Mo: 0.500 0.500 0.000  2.48

---

Record 7
The following is a DFT calculation (GGA-PBE) of DyThOs2 after structural relaxation.

space group	Fm-3m, No. 225
energy relative to the lowest polymorph listed for this composition	0.004	eV per atom
volume	85	Å³/f.u.
final energy	-8.78	eV/atom
Fermi-level density of states	0.84	states/eV/atom
calculated formation energy	-159	meV/atom

Cell: 4.940 4.940 4.940 Å, 60.00 60.00 60.00°
Atoms (fractional coordinates):
Th: 0.500 0.500 0.500
Os: 0.250 0.250 0.250
Os: 0.750 0.750 0.750
Dy: 0.000 0.000 0.000

---

Record 8
The following is a DFT calculation (GGA-PBE) of AlZnCd2 after structural relaxation.

space group	I4/mmm, No. 139
energy relative to the lowest polymorph listed for this composition	0.069	eV per atom
volume	78	Å³/f.u.
final energy	-1.59	eV/atom
Fermi-level density of states	0.38	states/eV/atom
calculated formation energy	126	meV/atom

Cell: 5.243 5.243 5.243 Å, 131.86 131.86 70.44°
Atoms (fractional coordinates):
Zn: 0.250 0.750 0.500
Cd: 0.500 0.500 0.000
Cd: 0.000 0.000 0.000
Al: 0.750 0.250 0.500